# 1
# NaInSe2F

A geometry-optimized NaInSe2F structure (PBEsol, the Alexandria database).

The space group is P4/mmm (No. 123) and the conventional cell measures 5.000, 5.000 and 4.075 Å, with angles of 90.00, 90.00 and 90.00 degrees. The inequivalent atoms are Na at (0.000, 0.000, 0.000), In at (0.500, 0.500, 0.000), Se at (0.000, 0.500, 0.500) and F at (0.000, 0.000, 0.500).

Its total magnetization is 0.0 Bohr magnetons per cell. For the formation energy without anion corrections, the calculation gives -2.9 eV per formula unit. Its density of states at the Fermi level is 2.96 states/eV/f.u.

---

# 2
# NaTl2InF6

A geometry-optimized NaTl2InF6 structure (PBEsol, the Alexandria database).

The space group is Fm-3m (No. 225) and the conventional cell measures 8.637, 8.637 and 8.637 Å, with angles of 90.00, 90.00 and 90.00 degrees. The inequivalent atoms are Na at (0.000, 0.000, 0.000), Tl at (0.250, 0.250, 0.250), In at (0.000, 0.000, 0.500) and F at (0.000, 0.000, 0.259).

Its total magnetization is 0.0 Bohr magnetons per cell. For the formation energy without anion corrections, the calculation gives -23.0 eV per formula unit. Its density of states at the Fermi level is 0.00 states/eV/f.u.

---

# 3
# Nb3InF

A geometry-optimized Nb3InF structure (PBEsol, the Alexandria database).

The space group is Pm-3m (No. 221) and the conventional cell measures 5.053, 5.053 and 5.053 Å, with angles of 90.00, 90.00 and 90.00 degrees. The inequivalent atoms are Nb at (0.000, 0.000, 0.500), In at (0.000, 0.000, 0.000) and F at (0.500, 0.500, 0.500).

Its total magnetization is 0.3 Bohr magnetons per cell. For the formation energy without anion corrections, the calculation gives 10.5 eV per formula unit. Its density of states at the Fermi level is 11.12 states/eV/f.u.

---

# 4
# InOF

A geometry-optimized InOF structure (PBEsol, the Alexandria database).

The space group is Fddd (No. 70, origin choice 2) and the conventional cell measures 7.056, 8.415 and 10.238 Å, with angles of 90.00, 90.00 and 90.00 degrees. The inequivalent atoms are In at (0.125, 0.325, 0.125), O at (0.125, 0.125, 0.261) and F at (0.000, 0.000, 0.500).

Its total magnetization is 0.0 Bohr magnetons per cell. For the formation energy without anion corrections, the calculation gives -6.1 eV per formula unit. Its density of states at the Fermi level is 0.00 states/eV/f.u.

---

# 5
# InO2F2

A geometry-optimized InO2F2 structure (PBEsol, the Alexandria database).

The space group is P4/mmm (No. 123) and the conventional cell measures 4.246, 4.246 and 4.072 Å, with angles of 90.00, 90.00 and 90.00 degrees. The inequivalent atoms are In at (0.000, 0.000, 0.000), O at (0.000, 0.500, 0.000), F at (0.000, 0.000, 0.500) and F at (0.500, 0.500, 0.500).

Its total magnetization is 3.0 Bohr magnetons per cell. For the formation energy without anion corrections, the calculation gives -2.3 eV per formula unit. Its density of states at the Fermi level is 3.24 states/eV/f.u.

---

# 6
# InPtOF2

A geometry-optimized InPtOF2 structure (PBEsol, the Alexandria database).

The space group is P4/mmm (No. 123) and the conventional cell measures 4.537, 4.537 and 3.743 Å, with angles of 90.00, 90.00 and 90.00 degrees. The inequivalent atoms are In at (0.000, 0.000, 0.000), Pt at (0.500, 0.500, 0.500), O at (0.500, 0.500, 0.000) and F at (0.000, 0.500, 0.500).

Its total magnetization is 0.0 Bohr magnetons per cell. For the formation energy without anion corrections, the calculation gives -4.1 eV per formula unit. Its density of states at the Fermi level is 2.32 states/eV/f.u.